# La8P3I4N (PBE, relaxed)
# Formation energy from raw total energies (eV per atom): -1.3952
# Calculated volume (Å³/atom): 30.09
# Spin magnetization (Bohr magnetons per cell): 0.0
# Mass density (Mg/m³): 5.95
# Crystal system: trigonal
data_La8P3I4N
_space_group_name_H-M_alt 'R -3 m'
_space_group_IT_number 166
_space_group_name_Hall '-R 3 2"'
_cell_length_a 8.4204
_cell_length_b 8.4204
_cell_length_c 23.5232
_cell_angle_alpha 90.00
_cell_angle_beta 90.00
_cell_angle_gamma 120.00
loop_
_atom_site_label
_atom_site_type_symbol
_atom_site_fract_x
_atom_site_fract_y
_atom_site_fract_z
La1 La 0.0000 0.0000 0.2307
La2 La 0.0293 0.5147 0.2275
P1 P 0.0000 0.5000 0.5000
I1 I 0.0000 0.0000 0.0000
I2 I 0.0000 0.5000 0.0000
N1 N 0.0000 0.0000 0.5000